[1]
Na2Tl9Cd | PBE | relaxed

The structure belongs to space group P4/mmm (No. 123); the cell edges are 4.895, 4.895 and 14.506 Å and the angles 90.00°, 90.00° and 90.00°. The asymmetric unit holds Na at (0.000, 0.000, 0.166), Tl at (0.000, 0.500, 0.000), Tl at (0.000, 0.500, 0.336), Tl at (0.500, 0.500, 0.163), Tl at (0.500, 0.500, 0.500) and Cd at (0.000, 0.000, 0.500).

The value obtained for the energy relative to the elements is -0.0322 eV/atom. The size of the total moment is 0.00 μB per formula unit. Its density of states at the Fermi level is 0.50 states/eV per atom. The calculation puts the mass density at 9.55 Mg/m³. Its total energy is -25.236 eV/f.u.



[2]
GeAu3N | PBE | relaxed

The structure belongs to space group Pm-3m (No. 221); the cell edges are 4.951, 4.951 and 4.951 Å and the angles 90.00°, 90.00° and 90.00°. The asymmetric unit holds Ge at (0.000, 0.000, 0.000), Au at (0.000, 0.000, 0.500) and N at (0.500, 0.500, 0.500).

The size of the total moment is 2.94 μB per formula unit. Its density of states at the Fermi level is 0.42 states/eV per atom. Its uncorrected formation energy is 1.36 eV per atom. The calculation puts the mass density at 9.27 Mg/m³. Its total energy is -15.956 eV/f.u.



[3]
Cd2BiPb3 | PBE | relaxed

The structure belongs to space group Fmmm (No. 69); the cell edges are 6.769, 7.054 and 29.970 Å and the angles 90.00°, 90.00° and 90.00°. The asymmetric unit holds Cd at (0.249, 0.000, 0.000), Cd at (0.250, 0.250, 0.250), Bi at (0.000, 0.000, 0.177), Pb at (0.000, 0.000, 0.329) and Pb at (0.000, 0.248, 0.075).

The value obtained for the energy relative to the elements is 0.0584 eV/atom. The size of the total moment is 0.00 μB per formula unit. Its density of states at the Fermi level is 0.49 states/eV per atom. The calculation puts the mass density at 9.80 Mg/m³. Its total energy is -16.486 eV/f.u.



[4]
LaFe3Ir | PBE | relaxed

The structure belongs to space group Pm-3m (No. 221); the cell edges are 4.726, 4.726 and 4.726 Å and the angles 90.00°, 90.00° and 90.00°. The asymmetric unit holds La at (0.000, 0.000, 0.000), Fe at (0.000, 0.500, 0.500) and Ir at (0.500, 0.500, 0.500).

The value obtained for the energy relative to the elements is 0.5370 eV/atom. The size of the total moment is 8.98 μB per formula unit. Its density of states at the Fermi level is 2.23 states/eV per atom. The calculation puts the mass density at 7.84 Mg/m³. Its total energy is -36.491 eV/f.u.



[5]
Er8Sb5Pb | PBE | relaxed

The structure belongs to space group I-4 (No. 82); the cell edges are 9.163, 9.163 and 9.130 Å and the angles 90.00°, 90.00° and 90.00°. The asymmetric unit holds Er at (0.073, 0.174, 0.303), Er at (0.073, 0.323, 0.946), Sb at (0.000, 0.000, 0.000), Sb at (0.126, 0.250, 0.624) and Pb at (0.000, 0.500, 0.250).

The size of the total moment is 0.00 μB per formula unit. Its density of states at the Fermi level is 1.03 states/eV per atom. Its uncorrected formation energy is -0.87 eV per atom. The calculation puts the mass density at 9.33 Mg/m³. Its total energy is -72.982 eV/f.u.



[6]
NaLiInPb3 | PBE | relaxed

The structure belongs to space group P2_1/m (No. 11); the cell edges are 7.379, 4.845 and 9.736 Å and the angles 90.00°, 110.21° and 90.00°. The asymmetric unit holds Na at (0.160, 0.250, 0.284), Li at (0.481, 0.750, 0.869), In at (0.493, 0.250, 0.622), Pb at (0.181, 0.750, 0.542), Pb at (0.187, 0.250, 0.816) and Pb at (0.201, 0.750, 0.057).

The value obtained for the energy relative to the elements is -0.1360 eV/atom. The size of the total moment is 0.00 μB per formula unit. Its density of states at the Fermi level is 0.28 states/eV per atom. The calculation puts the mass density at 7.79 Mg/m³. Its total energy is -17.912 eV/f.u.



[7]
CsCe2Ho2O7 | PBE | relaxed

The structure belongs to space group I4/mmm (No. 139); the cell edges are 4.606, 4.606 and 19.718 Å and the angles 90.00°, 90.00° and 90.00°. The asymmetric unit holds Cs at (0.000, 0.000, 0.000), Ce at (0.000, 0.000, 0.389), Ho at (0.000, 0.500, 0.250), O at (0.000, 0.000, 0.262), O at (0.000, 0.000, 0.500) and O at (0.000, 0.500, 0.136).

The size of the total moment is 0.80 μB per formula unit. Its density of states at the Fermi level is 0.49 states/eV per atom. Its uncorrected formation energy is -3.13 eV per atom. The calculation puts the mass density at 6.79 Mg/m³. Its total energy is -94.159 eV/f.u.



[8]
Pr3Tl5 | PBE | relaxed

The structure belongs to space group Cmmm (No. 65); the cell edges are 9.187, 10.167 and 5.088 Å and the angles 90.00°, 90.00° and 90.00°. The asymmetric unit holds Pr at (0.000, 0.000, 0.000), Pr at (0.000, 0.280, 0.500), Tl at (0.000, 0.500, 0.000), Tl at (0.228, 0.000, 0.500) and Tl at (0.250, 0.250, 0.000).

The value obtained for the energy relative to the elements is -0.3381 eV/atom. The size of the total moment is 0.00 μB per formula unit. Its density of states at the Fermi level is 0.75 states/eV per atom. The calculation puts the mass density at 10.10 Mg/m³. Its total energy is -28.875 eV/f.u.



[9]
Li6Zn2In | PBE | relaxed

The structure belongs to space group C2/m (No. 12); the cell edges are 13.680, 7.805 and 2.793 Å and the angles 90.00°, 90.50° and 90.00°. The asymmetric unit holds Li at (0.000, 0.163, 0.000), Li at (0.169, 0.331, 0.008), Zn at (0.167, 0.000, 0.501) and In at (0.000, 0.500, 0.500).

The value obtained for the energy relative to the elements is -0.1575 eV/atom. The size of the total moment is 0.00 μB per formula unit. Its density of states at the Fermi level is 0.43 states/eV per atom. The calculation puts the mass density at 3.20 Mg/m³. Its total energy is -18.187 eV/f.u.



[10]
In4GaPb7 | PBE | relaxed

The structure belongs to space group P-1 (No. 2); the cell edges are 5.963, 6.531 and 9.602 Å and the angles 74.44°, 85.42° and 83.78°. The asymmetric unit holds In at (0.245, 0.125, 0.279), In at (0.254, 0.607, 0.256), Ga at (0.500, 0.000, 0.000), Pb at (0.000, 0.000, 0.000), Pb at (0.255, 0.693, 0.568), Pb at (0.257, 0.160, 0.655) and Pb at (0.259, 0.501, 0.924).

The value obtained for the energy relative to the elements is 0.0615 eV/atom. The size of the total moment is 0.00 μB per formula unit. Its density of states at the Fermi level is 0.40 states/eV per atom. The calculation puts the mass density at 9.19 Mg/m³. Its total energy is -39.201 eV/f.u.



[11]
SnOs4 | PBE | relaxed

The structure belongs to space group Pm-3m (No. 221); the cell edges are 4.722, 4.722 and 4.722 Å and the angles 90.00°, 90.00° and 90.00°. The asymmetric unit holds Sn at (0.000, 0.000, 0.000), Os at (0.000, 0.000, 0.500) and Os at (0.500, 0.500, 0.500).

The value obtained for the energy relative to the elements is 3.2477 eV/atom. The size of the total moment is 2.55 μB per formula unit. Its density of states at the Fermi level is 1.89 states/eV per atom. The calculation puts the mass density at 13.87 Mg/m³. Its total energy is -32.683 eV/f.u.



[12]
In2AgRu | PBE | relaxed

The structure belongs to space group P2/m (No. 10); the cell edges are 4.651, 3.317 and 5.290 Å and the angles 90.00°, 111.03° and 90.00°. The asymmetric unit holds In at (0.000, 0.000, 0.000), In at (0.000, 0.500, 0.500), Ag at (0.500, 0.000, 0.500) and Ru at (0.500, 0.500, 0.000).

The value obtained for the energy relative to the elements is 0.2046 eV/atom. The size of the total moment is 0.00 μB per formula unit. Its density of states at the Fermi level is 0.83 states/eV per atom. The calculation puts the mass density at 9.56 Mg/m³. Its total energy is -16.785 eV/f.u.



[13]
TaSi2Br | PBE | relaxed

The structure belongs to space group I-42d (No. 122); the cell edges are 6.166, 6.166 and 11.737 Å and the angles 90.00°, 90.00° and 90.00°. The asymmetric unit holds Ta at (0.000, 0.000, 0.000), Si at (0.207, 0.250, 0.125) and Br at (0.000, 0.000, 0.500).

The size of the total moment is 0.00 μB per formula unit. Its density of states at the Fermi level is 0.87 states/eV per atom. Its uncorrected formation energy is 0.92 eV per atom. The calculation puts the mass density at 4.72 Mg/m³. Its total energy is -20.687 eV/f.u.



[14]
Nd5Dy7 | PBE | relaxed

The structure belongs to space group C2/m (No. 12); the cell edges are 9.655, 5.791 and 14.842 Å and the angles 90.00°, 103.86° and 90.00°. The asymmetric unit holds Nd at (0.000, 0.000, 0.000), Nd at (0.119, 0.500, 0.799), Nd at (0.137, 0.000, 0.436), Dy at (0.000, 0.500, 0.500), Dy at (0.047, 0.000, 0.214), Dy at (0.183, 0.500, 0.083) and Dy at (0.241, 0.000, 0.672).

The value obtained for the energy relative to the elements is 0.1802 eV/atom. The size of the total moment is 0.00 μB per formula unit. Its density of states at the Fermi level is 1.72 states/eV per atom. The calculation puts the mass density at 7.66 Mg/m³. Its total energy is -53.892 eV/f.u.



[15]
MgGaGe2I | PBE | relaxed

The structure belongs to space group P4/mmm (No. 123); the cell edges are 5.558, 5.558 and 5.524 Å and the angles 90.00°, 90.00° and 90.00°. The asymmetric unit holds Mg at (0.000, 0.000, 0.000), Ga at (0.500, 0.500, 0.000), Ge at (0.000, 0.500, 0.500) and I at (0.000, 0.000, 0.500).

The size of the total moment is 0.00 μB per formula unit. Its density of states at the Fermi level is 0.51 states/eV per atom. Its uncorrected formation energy is 1.01 eV per atom. The calculation puts the mass density at 3.56 Mg/m³. Its total energy is -10.374 eV/f.u.



[16]
MgAsW3 | PBE | relaxed

The structure belongs to space group Pm-3m (No. 221); the cell edges are 4.614, 4.614 and 4.614 Å and the angles 90.00°, 90.00° and 90.00°. The asymmetric unit holds Mg at (0.000, 0.000, 0.000), As at (0.500, 0.500, 0.500) and W at (0.000, 0.000, 0.500).

The value obtained for the energy relative to the elements is 2.6503 eV/atom. The size of the total moment is 1.45 μB per formula unit. Its density of states at the Fermi level is 1.15 states/eV per atom. The calculation puts the mass density at 11.00 Mg/m³. Its total energy is -31.852 eV/f.u.



[17]
In3Re | PBE | relaxed

The structure belongs to space group Pnma (No. 62); the cell edges are 7.106, 8.894 and 5.473 Å and the angles 90.00°, 90.00° and 90.00°. The asymmetric unit holds In at (0.017, 0.250, 0.120), In at (0.179, 0.044, 0.603) and Re at (0.133, 0.750, 0.385).

The value obtained for the energy relative to the elements is 0.2862 eV/atom. The size of the total moment is 0.00 μB per formula unit. Its density of states at the Fermi level is 0.24 states/eV per atom. The calculation puts the mass density at 10.19 Mg/m³. Its total energy is -19.519 eV/f.u.



[18]
Tl7Sb4Pb | PBE | relaxed

The structure belongs to space group P-1 (No. 2); the cell edges are 6.311, 6.963 and 8.895 Å and the angles 101.11°, 92.04° and 91.36°. The asymmetric unit holds Tl at (0.000, 0.000, 0.000), Tl at (0.158, 0.680, 0.629), Tl at (0.319, 0.064, 0.345), Tl at (0.475, 0.762, 0.983), Sb at (0.219, 0.223, 0.704), Sb at (0.370, 0.567, 0.290) and Pb at (0.000, 0.500, 0.000).

The size of the total moment is 0.00 μB per formula unit. Its density of states at the Fermi level is 0.36 states/eV per atom. Its uncorrected formation energy is 0.02 eV per atom. The calculation puts the mass density at 9.21 Mg/m³. Its total energy is -36.508 eV/f.u.



[19]
HfCo2Ir2 | PBE | relaxed

The structure belongs to space group P4/mbm (No. 127); the cell edges are 7.207, 7.207 and 2.796 Å and the angles 90.00°, 90.00° and 90.00°. The asymmetric unit holds Hf at (0.000, 0.000, 0.000), Co at (0.170, 0.330, 0.500) and Ir at (0.130, 0.630, 0.000).

The value obtained for the energy relative to the elements is -0.1545 eV/atom. The size of the total moment is 3.06 μB per formula unit. Its density of states at the Fermi level is 1.17 states/eV per atom. The calculation puts the mass density at 15.57 Mg/m³. Its total energy is -42.660 eV/f.u.



[20]
TbPr2AgSe5 | PBE | relaxed

The structure belongs to space group Cmc2_1 (No. 36); the cell edges are 4.178, 17.647 and 12.576 Å and the angles 90.00°, 90.00° and 90.00°. The asymmetric unit holds Tb at (0.000, 0.196, 0.000), Pr at (0.000, 0.110, 0.677), Pr at (0.000, 0.125, 0.297), Ag at (0.000, 0.443, 0.451), Se at (0.000, 0.046, 0.070), Se at (0.000, 0.287, 0.659), Se at (0.000, 0.306, 0.336), Se at (0.000, 0.359, 0.991) and Se at (0.000, 0.498, 0.764).

The size of the total moment is 0.00 μB per formula unit. Its density of states at the Fermi level is 0.00 states/eV per atom. Its uncorrected formation energy is -1.56 eV per atom. The calculation puts the mass density at 6.76 Mg/m³. Its total energy is -48.501 eV/f.u.



[21]
La2Cd2Au | PBE | relaxed

The structure belongs to space group P4/mbm (No. 127); the cell edges are 7.512, 7.512 and 4.916 Å and the angles 90.00°, 90.00° and 90.00°. The asymmetric unit holds La at (0.163, 0.337, 0.000), Cd at (0.139, 0.639, 0.500) and Au at (0.000, 0.000, 0.500).

The value obtained for the energy relative to the elements is -0.3459 eV/atom. The size of the total moment is 0.00 μB per formula unit. Its density of states at the Fermi level is 1.06 states/eV per atom. The calculation puts the mass density at 8.38 Mg/m³. Its total energy is -16.692 eV/f.u.



[22]
NaHoS2 | PBE | relaxed

The structure belongs to space group R3m (No. 160, hexagonal axes); the cell edges are 3.9365, 3.9365 and 20.7931 Å and the angles 90.00°, 90.00° and 120.00°. The asymmetric unit holds Na at (0.0000, 0.0000, 0.0000), Ho at (0.0000, 0.0000, 0.8291), S at (0.0000, 0.0000, 0.2360) and S at (0.0000, 0.0000, 0.4222).

The size of the total moment is 0.00 μB per formula unit. Its density of states at the Fermi level is 0.00 states/eV per atom. Its uncorrected formation energy is -1.81 eV per atom. The calculation puts the mass density at 4.50 Mg/m³. Its total energy is -21.403 eV/f.u.



[23]
Ta2SnH | PBE | relaxed

The structure belongs to space group I4_1/amd (No. 141, origin choice 2); the cell edges are 5.500, 5.500 and 9.070 Å and the angles 90.00°, 90.00° and 90.00°. The asymmetric unit holds Ta at (0.000, 0.000, 0.000), Sn at (0.000, 0.250, 0.375) and H at (0.000, 0.250, 0.875).

The size of the total moment is 0.00 μB per formula unit. Its density of states at the Fermi level is 0.47 states/eV per atom. The calculation puts the mass density at 11.66 Mg/m³. Its total energy is -29.596 eV/f.u.